[1]
# LaCuIr PBE-GGA relaxed
# - density (g/cm3) = 10.9
# - ΔH_f (0 K) (eV per formula unit) = -0.424
# - magnetic moment (μB per formula unit) = 0.00
data_LaCuIr
_chemical_formula_sum 'La2 Cu2 Ir2'
_cell_length_a 3.508
_cell_length_b 3.508
_cell_length_c 9.754
_cell_angle_alpha 90.00
_cell_angle_beta 90.00
_cell_angle_gamma 90.00
_symmetry_space_group_name_H-M 'I 4 m m'
_symmetry_Int_Tables_number 107
_symmetry_space_group_name_Hall 'I 4 -2'
loop_
_atom_site_label
_atom_site_fract_x
_atom_site_fract_y
_atom_site_fract_z
_atom_site_occupancy
La1 0.000 0.000 0.000 1
Cu1 0.000 0.000 0.709 1
Ir1 0.000 0.000 0.305 1

---

[2]
# La2Cu5Ir PBE-GGA relaxed
# - density (g/cm3) = 8.8
# - ΔH_f (0 K) (eV per formula unit) = -1.899
# - magnetic moment (μB per formula unit) = 0.00
data_La2Cu5Ir
_chemical_formula_sum 'La8 Cu20 Ir4'
_cell_length_a 4.204
_cell_length_b 15.757
_cell_length_c 8.953
_cell_angle_alpha 90.00
_cell_angle_beta 90.00
_cell_angle_gamma 90.00
_symmetry_space_group_name_H-M 'C m c m'
_symmetry_Int_Tables_number 63
_symmetry_space_group_name_Hall '-C 2c 2'
loop_
_atom_site_label
_atom_site_fract_x
_atom_site_fract_y
_atom_site_fract_z
_atom_site_occupancy
La1 0.000 0.000 0.000 1
La2 0.000 0.196 0.250 1
Cu1 0.000 0.182 0.615 1
Cu2 0.000 0.342 0.513 1
Cu3 0.000 0.397 0.250 1
Ir1 0.000 0.439 0.750 1

---

[3]
# La3Cu2Ir7 PBE-GGA relaxed
# - density (g/cm3) = 14.3
# - ΔH_f (0 K) (eV per formula unit) = -6.527
# - magnetic moment (μB per formula unit) = 0.00
data_La3Cu2Ir7
_chemical_formula_sum 'La9 Cu6 Ir21'
_cell_length_a 5.4248
_cell_length_b 5.4248
_cell_length_c 25.7799
_cell_angle_alpha 90.00
_cell_angle_beta 90.00
_cell_angle_gamma 120.00
_symmetry_space_group_name_H-M 'R -3 m'
_symmetry_Int_Tables_number 166
_symmetry_space_group_name_Hall '-R 3 2"'
loop_
_atom_site_label
_atom_site_fract_x
_atom_site_fract_y
_atom_site_fract_z
_atom_site_occupancy
La1 0.0000 0.0000 0.0000 1
La2 0.0000 0.0000 0.1402 1
Cu1 0.0000 0.0000 0.3341 1
Ir1 0.0000 0.0000 0.5000 1
Ir2 0.0039 0.5019 0.9192 1

---

[4]
# LaCu2Ir2 PBE-GGA relaxed
# - density (g/cm3) = 11.7
# - ΔH_f (0 K) (eV per formula unit) = -0.872
# - magnetic moment (μB per formula unit) = 0.00
data_LaCu2Ir2
_chemical_formula_sum 'La2 Cu4 Ir4'
_cell_length_a 4.268
_cell_length_b 4.268
_cell_length_c 10.170
_cell_angle_alpha 90.00
_cell_angle_beta 90.00
_cell_angle_gamma 90.00
_symmetry_space_group_name_H-M 'I 4/m m m'
_symmetry_Int_Tables_number 139
_symmetry_space_group_name_Hall '-I 4 2'
loop_
_atom_site_label
_atom_site_fract_x
_atom_site_fract_y
_atom_site_fract_z
_atom_site_occupancy
La1 0.000 0.000 0.000 1
Cu1 0.000 0.500 0.250 1
Ir1 0.000 0.000 0.382 1

---

[5]
# LaCu5Ir PBE-GGA relaxed
# - density (g/cm3) = 10.1
# - ΔH_f (0 K) (eV per formula unit) = -1.019
# - magnetic moment (μB per formula unit) = 0.00
data_LaCu5Ir
_chemical_formula_sum 'La4 Cu20 Ir4'
_cell_length_a 8.191
_cell_length_b 5.077
_cell_length_c 10.310
_cell_angle_alpha 90.00
_cell_angle_beta 90.00
_cell_angle_gamma 90.00
_symmetry_space_group_name_H-M 'P n m a'
_symmetry_Int_Tables_number 62
loop_
_symmetry_equiv_pos_as_xyz
'x,y,z'
'-x,-y,-z'
'-x+1/2,-y,z+1/2'
'x+1/2,y,-z+1/2'
'x+1/2,-y+1/2,-z+1/2'
'-x+1/2,y+1/2,z+1/2'
'-x,y+1/2,-z'
'x,-y+1/2,z'
loop_
_atom_site_label
_atom_site_fract_x
_atom_site_fract_y
_atom_site_fract_z
_atom_site_occupancy
La1 0.234 0.250 0.066 1
Cu1 0.058 0.750 0.100 1
Cu2 0.066 0.004 0.311 1
Cu3 0.098 0.250 0.517 1
Cu4 0.182 0.250 0.755 1
Ir1 0.143 0.750 0.856 1

---

[6]
# La4CuIr PBE-GGA relaxed
# - density (g/cm3) = 7.0
# - ΔH_f (0 K) (eV per formula unit) = -1.759
# - magnetic moment (μB per formula unit) = 0.00
data_La4CuIr
_chemical_formula_sum 'La16 Cu4 Ir4'
_cell_length_a 8.483
_cell_length_b 15.595
_cell_length_c 7.168
_cell_angle_alpha 90.00
_cell_angle_beta 125.78
_cell_angle_gamma 90.00
_symmetry_space_group_name_H-M 'C 1 2/c 1'
_symmetry_Int_Tables_number 15
loop_
_symmetry_equiv_pos_as_xyz
'x,y,z'
'-x,-y,-z'
'-x,y,-z+1/2'
'x,-y,z+1/2'
'x+1/2,y+1/2,z'
'-x+1/2,-y+1/2,-z'
'-x+1/2,y+1/2,-z+1/2'
'x+1/2,-y+1/2,z+1/2'
loop_
_atom_site_label
_atom_site_fract_x
_atom_site_fract_y
_atom_site_fract_z
_atom_site_occupancy
La1 0.231 0.209 0.235 1
La2 0.241 0.048 0.744 1
Cu1 0.000 0.406 0.750 1
Ir1 0.000 0.083 0.250 1

---

[7]
# La3Cu4Ir2 PBE-GGA relaxed
# - density (g/cm3) = 9.2
# - ΔH_f (0 K) (eV per formula unit) = -3.486
# - magnetic moment (μB per formula unit) = 0.00
data_La3Cu4Ir2
_chemical_formula_sum 'La6 Cu8 Ir4'
_cell_length_a 11.059
_cell_length_b 4.266
_cell_length_c 8.496
_cell_angle_alpha 90.00
_cell_angle_beta 108.17
_cell_angle_gamma 90.00
_symmetry_space_group_name_H-M 'C 1 2/m 1'
_symmetry_Int_Tables_number 12
loop_
_symmetry_equiv_pos_as_xyz
'x,y,z'
'-x,-y,-z'
'-x,y,-z'
'x,-y,z'
'x+1/2,y+1/2,z'
'-x+1/2,-y+1/2,-z'
'-x+1/2,y+1/2,-z'
'x+1/2,-y+1/2,z'
loop_
_atom_site_label
_atom_site_fract_x
_atom_site_fract_y
_atom_site_fract_z
_atom_site_occupancy
La1 0.000 0.000 0.000 1
La2 0.179 0.500 0.651 1
Cu1 0.037 0.000 0.379 1
Cu2 0.225 0.500 0.056 1
Ir1 0.110 0.500 0.272 1

---

[8]
# LaCuIr PBE-GGA relaxed
# - density (g/cm3) = 10.6
# - ΔH_f (0 K) (eV per formula unit) = -1.288
# - magnetic moment (μB per formula unit) = 0.00
data_LaCuIr
_chemical_formula_sum 'La4 Cu4 Ir4'
_cell_length_a 6.166
_cell_length_b 5.508
_cell_length_c 7.815
_cell_angle_alpha 90.00
_cell_angle_beta 110.72
_cell_angle_gamma 90.00
_symmetry_space_group_name_H-M 'P 1 21/c 1'
_symmetry_Int_Tables_number 14
loop_
_symmetry_equiv_pos_as_xyz
'x,y,z'
'-x,-y,-z'
'-x,y+1/2,-z+1/2'
'x,-y+1/2,z+1/2'
loop_
_atom_site_label
_atom_site_fract_x
_atom_site_fract_y
_atom_site_fract_z
_atom_site_occupancy
La1 0.198 0.105 0.376 1
Cu1 0.415 0.593 0.308 1
Ir1 0.191 0.631 0.538 1

---

[9]
# La2Cu5Ir5 PBE-GGA relaxed
# - density (g/cm3) = 12.8
# - ΔH_f (0 K) (eV per formula unit) = -3.979
# - magnetic moment (μB per formula unit) = 0.00
data_La2Cu5Ir5
_chemical_formula_sum 'La2 Cu5 Ir5'
_cell_length_a 4.115
_cell_length_b 5.388
_cell_length_c 9.101
_cell_angle_alpha 90.00
_cell_angle_beta 90.00
_cell_angle_gamma 90.00
_symmetry_space_group_name_H-M 'P m m m'
_symmetry_Int_Tables_number 47
loop_
_symmetry_equiv_pos_as_xyz
'x,y,z'
'-x,-y,-z'
'-x,-y,z'
'x,y,-z'
'x,-y,-z'
'-x,y,z'
'-x,y,-z'
'x,-y,z'
loop_
_atom_site_label
_atom_site_fract_x
_atom_site_fract_y
_atom_site_fract_z
_atom_site_occupancy
La1 0.000 0.000 0.000 1
La2 0.000 0.500 0.500 1
Cu1 0.000 0.000 0.332 1
Cu2 0.000 0.500 0.166 1
Cu3 0.500 0.500 0.000 1
Ir1 0.500 0.000 0.500 1
Ir2 0.500 0.254 0.248 1

---

[10]
# La4Cu3Ir PBE-GGA relaxed
# - density (g/cm3) = 7.8
# - ΔH_f (0 K) (eV per formula unit) = -2.702
# - magnetic moment (μB per formula unit) = 0.00
data_La4Cu3Ir
_chemical_formula_sum 'La4 Cu3 Ir1'
_cell_length_a 4.031
_cell_length_b 4.546
_cell_length_c 10.936
_cell_angle_alpha 90.00
_cell_angle_beta 90.00
_cell_angle_gamma 90.00
_symmetry_space_group_name_H-M 'P m m 2'
_symmetry_Int_Tables_number 25
loop_
_symmetry_equiv_pos_as_xyz
'x,y,z'
'-x,-y,z'
'-x,y,z'
'x,-y,z'
loop_
_atom_site_label
_atom_site_fract_x
_atom_site_fract_y
_atom_site_fract_z
_atom_site_occupancy
La1 0.000 0.000 0.000 1
La2 0.000 0.500 0.264 1
La3 0.500 0.000 0.477 1
La4 0.500 0.500 0.765 1
Cu1 0.000 0.000 0.689 1
Cu2 0.000 0.500 0.559 1
Cu3 0.500 0.500 0.054 1
Ir1 0.500 0.000 0.209 1

---

[11]
# La2Cu2Ir PBE-GGA relaxed
# - density (g/cm3) = 8.5
# - ΔH_f (0 K) (eV per formula unit) = -1.946
# - magnetic moment (μB per formula unit) = 0.00
data_La2Cu2Ir
_chemical_formula_sum 'La8 Cu8 Ir4'
_cell_length_a 10.909
_cell_length_b 4.117
_cell_length_c 11.596
_cell_angle_alpha 90.00
_cell_angle_beta 116.96
_cell_angle_gamma 90.00
_symmetry_space_group_name_H-M 'C 1 2/m 1'
_symmetry_Int_Tables_number 12
loop_
_symmetry_equiv_pos_as_xyz
'x,y,z'
'-x,-y,-z'
'-x,y,-z'
'x,-y,z'
'x+1/2,y+1/2,z'
'-x+1/2,-y+1/2,-z'
'-x+1/2,y+1/2,-z'
'x+1/2,-y+1/2,z'
loop_
_atom_site_label
_atom_site_fract_x
_atom_site_fract_y
_atom_site_fract_z
_atom_site_occupancy
La1 0.064 0.000 0.363 1
La2 0.206 0.000 0.120 1
Cu1 0.011 0.500 0.892 1
Cu2 0.121 0.500 0.581 1
Ir1 0.229 0.500 0.307 1

---

[12]
# La5Cu5Ir2 PBE-GGA relaxed
# - density (g/cm3) = 8.3
# - ΔH_f (0 K) (eV per formula unit) = -3.945
# - magnetic moment (μB per formula unit) = 0.00
data_La5Cu5Ir2
_chemical_formula_sum 'La10 Cu10 Ir4'
_cell_length_a 15.407
_cell_length_b 4.257
_cell_length_c 11.475
_cell_angle_alpha 90.00
_cell_angle_beta 131.87
_cell_angle_gamma 90.00
_symmetry_space_group_name_H-M 'C 1 2/m 1'
_symmetry_Int_Tables_number 12
loop_
_symmetry_equiv_pos_as_xyz
'x,y,z'
'-x,-y,-z'
'-x,y,-z'
'x,-y,z'
'x+1/2,y+1/2,z'
'-x+1/2,-y+1/2,-z'
'-x+1/2,y+1/2,-z'
'x+1/2,-y+1/2,z'
loop_
_atom_site_label
_atom_site_fract_x
_atom_site_fract_y
_atom_site_fract_z
_atom_site_occupancy
La1 0.000 0.000 0.000 1
La2 0.120 0.500 0.821 1
La3 0.199 0.500 0.586 1
Cu1 0.000 0.000 0.500 1
Cu2 0.060 0.000 0.336 1
Cu3 0.216 0.500 0.155 1
Ir1 0.109 0.500 0.259 1

---

[13]
# LaCuIr PBE-GGA relaxed
# - density (g/cm3) = 10.2
# - ΔH_f (0 K) (eV per formula unit) = -1.205
# - magnetic moment (μB per formula unit) = 0.00
data_LaCuIr
_chemical_formula_sum 'La1 Cu1 Ir1'
_cell_length_a 4.3094
_cell_length_b 4.3094
_cell_length_c 3.9814
_cell_angle_alpha 90.00
_cell_angle_beta 90.00
_cell_angle_gamma 120.00
_symmetry_space_group_name_H-M 'P -6 m 2'
_symmetry_Int_Tables_number 187
_symmetry_space_group_name_Hall 'P -6 2'
loop_
_atom_site_label
_atom_site_fract_x
_atom_site_fract_y
_atom_site_fract_z
_atom_site_occupancy
La1 0.0000 0.0000 0.0000 1
Cu1 0.6667 0.3333 0.5000 1
Ir1 0.3333 0.6667 0.5000 1

---

[14]
# La4CuIr PBE-GGA relaxed
# - density (g/cm3) = 7.5
# - ΔH_f (0 K) (eV per formula unit) = -2.092
# - magnetic moment (μB per formula unit) = 0.00
data_La4CuIr
_chemical_formula_sum 'La8 Cu2 Ir2'
_cell_length_a 6.535
_cell_length_b 7.201
_cell_length_c 8.025
_cell_angle_alpha 90.00
_cell_angle_beta 108.45
_cell_angle_gamma 90.00
_symmetry_space_group_name_H-M 'P 1 21/m 1'
_symmetry_Int_Tables_number 11
loop_
_symmetry_equiv_pos_as_xyz
'x,y,z'
'-x,-y,-z'
'-x,y+1/2,-z'
'x,-y+1/2,z'
loop_
_atom_site_label
_atom_site_fract_x
_atom_site_fract_y
_atom_site_fract_z
_atom_site_occupancy
La1 0.007 0.003 0.242 1
La2 0.437 0.250 0.102 1
La3 0.439 0.250 0.618 1
Cu1 0.213 0.750 0.555 1
Ir1 0.228 0.750 0.056 1

---

[15]
# La2Cu3Ir PBE-GGA relaxed
# - density (g/cm3) = 8.7
# - ΔH_f (0 K) (eV per formula unit) = -2.090
# - magnetic moment (μB per formula unit) = 0.00
data_La2Cu3Ir
_chemical_formula_sum 'La16 Cu24 Ir8'
_cell_length_a 7.846
_cell_length_b 8.764
_cell_length_c 14.746
_cell_angle_alpha 90.00
_cell_angle_beta 90.00
_cell_angle_gamma 90.00
_symmetry_space_group_name_H-M 'F m m m'
_symmetry_Int_Tables_number 69
_symmetry_space_group_name_Hall '-F 2 2'
loop_
_atom_site_label
_atom_site_fract_x
_atom_site_fract_y
_atom_site_fract_z
_atom_site_occupancy
La1 0.240 0.000 0.000 1
La2 0.250 0.250 0.250 1
Cu1 0.000 0.000 0.334 1
Cu2 0.000 0.242 0.417 1
Ir1 0.000 0.000 0.160 1

---

[16]
# LaCuIr PBE-GGA relaxed
# - density (g/cm3) = 11.5
# - ΔH_f (0 K) (eV per formula unit) = 1.173
# - magnetic moment (μB per formula unit) = 0.00
data_LaCuIr
_chemical_formula_sum 'La1 Cu1 Ir1'
_cell_length_a 3.0221
_cell_length_b 3.0221
_cell_length_c 7.1739
_cell_angle_alpha 90.00
_cell_angle_beta 90.00
_cell_angle_gamma 120.00
_symmetry_space_group_name_H-M 'P 3 m 1'
_symmetry_Int_Tables_number 156
loop_
_symmetry_equiv_pos_as_xyz
'x,y,z'
'-y,x-y,z'
'-x+y,-x,z'
'-y,-x,z'
'-x+y,y,z'
'x,x-y,z'
loop_
_atom_site_label
_atom_site_fract_x
_atom_site_fract_y
_atom_site_fract_z
_atom_site_occupancy
La1 0.0000 0.0000 0.0000 1
Cu1 0.6667 0.3333 0.3788 1
Ir1 0.3333 0.6667 0.6585 1

---

[17]
# LaCuIr PBE-GGA relaxed
# - density (g/cm3) = 11.7
# - ΔH_f (0 K) (eV per formula unit) = -1.434
# - magnetic moment (μB per formula unit) = 0.00
data_LaCuIr
_chemical_formula_sum 'La4 Cu4 Ir4'
_cell_length_a 5.054
_cell_length_b 5.695
_cell_length_c 7.794
_cell_angle_alpha 90.00
_cell_angle_beta 90.00
_cell_angle_gamma 90.00
_symmetry_space_group_name_H-M 'I m m a'
_symmetry_Int_Tables_number 74
_symmetry_space_group_name_Hall '-I 2b 2'
loop_
_atom_site_label
_atom_site_fract_x
_atom_site_fract_y
_atom_site_fract_z
_atom_site_occupancy
La1 0.000 0.250 0.126 1
Cu1 0.250 0.250 0.750 1
Ir1 0.000 0.000 0.500 1

---

[18]
# La2Cu2Ir PBE-GGA relaxed
# - density (g/cm3) = 9.3
# - ΔH_f (0 K) (eV per formula unit) = -1.157
# - magnetic moment (μB per formula unit) = 0.00
data_La2Cu2Ir
_chemical_formula_sum 'La4 Cu4 Ir2'
_cell_length_a 7.180
_cell_length_b 7.180
_cell_length_c 4.126
_cell_angle_alpha 90.00
_cell_angle_beta 90.00
_cell_angle_gamma 90.00
_symmetry_space_group_name_H-M 'P 4/m b m'
_symmetry_Int_Tables_number 127
_symmetry_space_group_name_Hall '-P 4 2ab'
loop_
_atom_site_label
_atom_site_fract_x
_atom_site_fract_y
_atom_site_fract_z
_atom_site_occupancy
La1 0.189 0.311 0.000 1
Cu1 0.120 0.620 0.500 1
Ir1 0.000 0.000 0.500 1

---

[19]
# LaCu2Ir2 PBE-GGA relaxed
# - density (g/cm3) = 13.1
# - ΔH_f (0 K) (eV per formula unit) = -0.173
# - magnetic moment (μB per formula unit) = 0.00
data_LaCu2Ir2
_chemical_formula_sum 'La2 Cu4 Ir4'
_cell_length_a 7.519
_cell_length_b 7.519
_cell_length_c 2.911
_cell_angle_alpha 90.00
_cell_angle_beta 90.00
_cell_angle_gamma 90.00
_symmetry_space_group_name_H-M 'P 4/m b m'
_symmetry_Int_Tables_number 127
_symmetry_space_group_name_Hall '-P 4 2ab'
loop_
_atom_site_label
_atom_site_fract_x
_atom_site_fract_y
_atom_site_fract_z
_atom_site_occupancy
La1 0.000 0.000 0.000 1
Cu1 0.121 0.379 0.000 1
Ir1 0.173 0.673 0.500 1

---

[20]
# La8Cu2Ir PBE-GGA relaxed
# - density (g/cm3) = 7.2
# - ΔH_f (0 K) (eV per formula unit) = -2.100
# - magnetic moment (μB per formula unit) = 0.00
data_La8Cu2Ir
_chemical_formula_sum 'La16 Cu4 Ir2'
_cell_length_a 18.253
_cell_length_b 5.199
_cell_length_c 6.996
_cell_angle_alpha 90.00
_cell_angle_beta 99.12
_cell_angle_gamma 90.00
_symmetry_space_group_name_H-M 'C 1 2/m 1'
_symmetry_Int_Tables_number 12
loop_
_symmetry_equiv_pos_as_xyz
'x,y,z'
'-x,-y,-z'
'-x,y,-z'
'x,-y,z'
'x+1/2,y+1/2,z'
'-x+1/2,-y+1/2,-z'
'-x+1/2,y+1/2,-z'
'x+1/2,-y+1/2,z'
loop_
_atom_site_label
_atom_site_fract_x
_atom_site_fract_y
_atom_site_fract_z
_atom_site_occupancy
La1 0.031 0.000 0.290 1
La2 0.088 0.500 0.935 1
La3 0.161 0.500 0.464 1
La4 0.202 0.000 0.837 1
Cu1 0.194 0.000 0.245 1
Ir1 0.000 0.500 0.500 1